14
Lattice="2.6907 -6.3646 0.0000 2.6907 6.3646 0.0000 0.0000 0.0000 5.3944" Properties=species:S:1:pos:R:3 comment="GaGeHRh4 (PBE, relaxed)" m_tot_mub_per_atom=0.0013 e_tot_ev_per_cell=-85.2 pbc="T T T"
Ga 2.6907 4.9764 4.0458
Ga 2.6907 -4.9764 1.3486
Ge 2.6907 1.4452 4.0458
Ge 2.6907 -1.4452 1.3486
H 2.6907 3.1225 1.3486
H 2.6907 -3.1225 4.0458
Rh 1.3454 3.1823 0.0000
Rh 1.3454 3.1823 2.6972
Rh 2.6907 5.3217 1.3486
Rh 2.6907 0.9435 1.3486
Rh 1.3454 -3.1823 0.0000
Rh 1.3454 -3.1823 2.6972
Rh 2.6907 -0.9435 4.0458
Rh 2.6907 -5.3217 4.0458